Entry from the Alexandria database: crystalline La2Sm2DyEr at its relaxed geometry (GGA-PBE).

Output
- size of the total moment (μB/f.u.) = 0.0
- ΔE_f (eV/atom) = 0.0589

Cell: 7.106 5.734 9.933 Å, 90.00 90.00 90.00°
Positions (direct):
La: 0.000 0.000 0.000
La: 0.250 0.500 0.178
La: 0.500 0.000 0.000
La: 0.750 0.500 0.822
Sm: 0.250 0.000 0.333
Sm: 0.250 0.500 0.834
Sm: 0.750 0.000 0.667
Sm: 0.750 0.500 0.166
Dy: 0.250 0.000 0.657
Dy: 0.750 0.000 0.343
Er: 0.000 0.500 0.500
Er: 0.500 0.500 0.500

***

Entry from the Alexandria database: crystalline Li2TmCd3 at its relaxed geometry (GGA-PBE).

Output
- size of the total moment (μB/f.u.) = 0.0
- ΔE_f (eV/atom) = -0.2652

Cell: 3.417 3.417 10.600 Å, 90.00 90.00 90.00°
Positions (direct):
Li: 0.000 0.000 0.153
Li: 0.000 0.000 0.847
Tm: 0.000 0.000 0.500
Cd: 0.500 0.500 0.000
Cd: 0.500 0.500 0.300
Cd: 0.500 0.500 0.700

***

Entry from the Alexandria database: crystalline Ac2CuSn4Pt3 at its relaxed geometry (GGA-PBE).

Output
- size of the total moment (μB/f.u.) = 0.0
- ΔE_f (eV/atom) = -0.8079

Cell: 4.690 4.690 10.827 Å, 90.00 90.00 90.00°
Positions (direct):
Ac: 0.000 0.500 0.239
Ac: 0.500 0.000 0.761
Cu: 0.500 0.500 0.000
Sn: 0.000 0.000 0.500
Sn: 0.000 0.500 0.876
Sn: 0.500 0.000 0.124
Sn: 0.500 0.500 0.500
Pt: 0.000 0.000 0.000
Pt: 0.000 0.500 0.629
Pt: 0.500 0.000 0.371

***

Entry from the Alexandria database: crystalline Lu2CoCu at its relaxed geometry (GGA-PBE).

Output
- size of the total moment (μB/f.u.) = 0.0
- ΔE_f (eV/atom) = 0.3209

Cell: 3.615 3.615 25.580 Å, 90.00 90.00 120.00°
Positions (direct):
Lu: 0.000 0.000 0.108
Lu: 0.000 0.000 0.892
Lu: 0.333 0.667 0.559
Lu: 0.333 0.667 0.774
Lu: 0.667 0.333 0.226
Lu: 0.667 0.333 0.441
Co: 0.000 0.000 0.500
Co: 0.333 0.667 0.167
Co: 0.667 0.333 0.833
Cu: 0.000 0.000 0.000
Cu: 0.333 0.667 0.667
Cu: 0.667 0.333 0.333

***

Entry from the Alexandria database: crystalline Nd5Te2Se2 at its relaxed geometry (GGA-PBE).

Output
- formation energy without anion corrections (eV per atom) = -1.354
- size of the total moment (μB/f.u.) = 0.0

Cell: 8.802 8.802 8.044 Å, 90.00 90.00 55.13°
Positions (direct):
Nd: 0.000 0.000 0.000
Nd: 0.029 0.717 0.657
Nd: 0.217 0.529 0.157
Nd: 0.283 0.971 0.657
Nd: 0.471 0.783 0.157
Nd: 0.500 0.500 0.500
Nd: 0.529 0.217 0.843
Nd: 0.717 0.029 0.343
Nd: 0.783 0.471 0.843
Nd: 0.971 0.283 0.343
Te: 0.202 0.202 0.000
Te: 0.298 0.298 0.500
Te: 0.702 0.702 0.500
Te: 0.798 0.798 0.000
Se: 0.146 0.854 0.356
Se: 0.354 0.646 0.856
Se: 0.646 0.354 0.144
Se: 0.854 0.146 0.644

***

Entry from the Alexandria database: crystalline Rb3Ca2US6 at its relaxed geometry (GGA-PBE).

Output
- formation energy without anion corrections (eV per atom) = -1.626
- size of the total moment (μB/f.u.) = 1.0

Cell: 7.167 7.167 8.006 Å, 98.58 98.58 119.97°
Positions (direct):
Rb: 0.000 0.000 0.000
Rb: 0.328 0.672 0.000
Rb: 0.672 0.328 0.000
Ca: 0.166 0.834 0.500
Ca: 0.834 0.166 0.500
U: 0.500 0.500 0.500
S: 0.126 0.436 0.309
S: 0.256 0.256 0.693
S: 0.436 0.126 0.309
S: 0.564 0.874 0.691
S: 0.744 0.744 0.307
S: 0.874 0.564 0.691

***

Entry from the Alexandria database: crystalline KLiW3 at its relaxed geometry (GGA-PBE).

Output
- size of the total moment (μB/f.u.) = 0.0
- ΔE_f (eV/atom) = 3.6196
- offset from the most stable computed form (meV per atom) = 1193

Cell: 4.560 4.560 4.560 Å, 90.00 90.00 90.00°
Positions (direct):
K: 0.000 0.000 0.000
Li: 0.500 0.500 0.500
W: 0.000 0.000 0.500
W: 0.000 0.500 0.000
W: 0.500 0.000 0.000

***

Entry from the Alexandria database: crystalline Li4Zn3Cu2 at its relaxed geometry (GGA-PBE).

Output
- size of the total moment (μB/f.u.) = 0.0
- ΔE_f (eV/atom) = -0.1422
- offset from the most stable computed form (meV per atom) = 0

Cell: 5.060 5.060 7.803 Å, 121.94 121.94 49.49°
Positions (direct):
Li: 0.159 0.159 0.156
Li: 0.279 0.279 0.617
Li: 0.721 0.721 0.383
Li: 0.841 0.841 0.844
Zn: 0.386 0.386 0.065
Zn: 0.500 0.500 0.500
Zn: 0.614 0.614 0.935
Cu: 0.057 0.057 0.714
Cu: 0.943 0.943 0.286

***

Entry from the Alexandria database: crystalline HgP2PbS at its relaxed geometry (GGA-PBE).

Output
- formation energy without anion corrections (eV per atom) = 1.109
- size of the total moment (μB/f.u.) = 2.5
- offset from the most stable computed form (meV per atom) = 234

Cell: 5.383 5.383 5.222 Å, 90.00 90.00 90.00°
Positions (direct):
Hg: 0.000 0.000 0.000
P: 0.000 0.500 0.500
P: 0.500 0.000 0.500
Pb: 0.500 0.500 0.500
S: 0.500 0.500 0.000

***

Entry from the Alexandria database: crystalline Ac2ErHg10 at its relaxed geometry (GGA-PBE).

Output
- size of the total moment (μB/f.u.) = 0.0
- ΔE_f (eV/atom) = -0.0898

Cell: 11.001 13.327 5.868 Å, 90.00 90.00 90.00°
Positions (direct):
Ac: 0.131 0.171 0.000
Ac: 0.369 0.671 0.000
Ac: 0.631 0.329 0.000
Ac: 0.869 0.829 0.000
Er: 0.000 0.500 0.500
Er: 0.500 0.000 0.500
Hg: 0.031 0.885 0.500
Hg: 0.090 0.686 0.244
Hg: 0.090 0.686 0.756
Hg: 0.189 0.319 0.500
Hg: 0.228 0.038 0.500
Hg: 0.272 0.538 0.500
Hg: 0.311 0.819 0.500
Hg: 0.410 0.186 0.244
Hg: 0.410 0.186 0.756
Hg: 0.469 0.385 0.500
Hg: 0.531 0.615 0.500
Hg: 0.590 0.814 0.244
Hg: 0.590 0.814 0.756
Hg: 0.689 0.181 0.500
Hg: 0.728 0.462 0.500
Hg: 0.772 0.962 0.500
Hg: 0.811 0.681 0.500
Hg: 0.910 0.314 0.244
Hg: 0.910 0.314 0.756
Hg: 0.969 0.115 0.500

***

Entry from the Alexandria database: crystalline La15Tb4Th at its relaxed geometry (GGA-PBE).

Output
- size of the total moment (μB/f.u.) = 0.0
- ΔE_f (eV/atom) = 0.0202

Cell: 5.217 5.217 26.082 Å, 90.00 90.00 90.00°
Positions (direct):
La: 0.000 0.000 0.000
La: 0.000 0.000 0.203
La: 0.000 0.000 0.401
La: 0.000 0.000 0.599
La: 0.000 0.000 0.797
La: 0.000 0.500 0.097
La: 0.000 0.500 0.300
La: 0.000 0.500 0.500
La: 0.000 0.500 0.700
La: 0.000 0.500 0.903
La: 0.500 0.000 0.097
La: 0.500 0.000 0.300
La: 0.500 0.000 0.500
La: 0.500 0.000 0.700
La: 0.500 0.000 0.903
Tb: 0.500 0.500 0.201
Tb: 0.500 0.500 0.400
Tb: 0.500 0.500 0.600
Tb: 0.500 0.500 0.799
Th: 0.500 0.500 0.000

***

Entry from the Alexandria database: crystalline GaIr4 at its relaxed geometry (GGA-PBE).

Output
- size of the total moment (μB/f.u.) = 0.0
- ΔE_f (eV/atom) = 1.6363

Cell: 4.467 4.467 4.467 Å, 90.00 90.00 90.00°
Positions (direct):
Ga: 0.000 0.000 0.000
Ir: 0.000 0.000 0.500
Ir: 0.000 0.500 0.000
Ir: 0.500 0.000 0.000
Ir: 0.500 0.500 0.500